[1]
# BTeP2S

A relaxed BTeP2S crystal (PBE, Alexandria via LeMat-Bulk).

The structure in CIF format:
```
data_BTeP2S
_chemical_formula_sum 'B1 Te1 P2 S1'
_cell_length_a 4.311
_cell_length_b 4.311
_cell_length_c 4.181
_cell_angle_alpha 90.00
_cell_angle_beta 90.00
_cell_angle_gamma 90.00
_symmetry_space_group_name_H-M 'P 4/m m m'
_symmetry_Int_Tables_number 123
_symmetry_space_group_name_Hall '-P 4 2'
loop_
_atom_site_label
_atom_site_type_symbol
_atom_site_fract_x
_atom_site_fract_y
_atom_site_fract_z
B1 B 0.000 0.000 0.000
Te1 Te 0.500 0.500 0.500
P1 P 0.000 0.500 0.000
S1 S 0.000 0.000 0.500
```

Output
DOS at the Fermi energy (states/eV/cell): 3.44
ΔE_f (raw) (meV per atom): 751
Final energy (eV per cell): -21.01
Energy relative to the lowest polymorph listed for this composition (meV per atom): 0

***

[2]
# BTeP2S

A relaxed BTeP2S crystal (PBE, Alexandria via LeMat-Bulk).

The structure in CIF format:
```
data_BTeP2S
_chemical_formula_sum 'B1 Te1 P2 S1'
_cell_length_a 5.098
_cell_length_b 5.098
_cell_length_c 5.098
_cell_angle_alpha 90.00
_cell_angle_beta 90.00
_cell_angle_gamma 90.00
_symmetry_space_group_name_H-M 'P 4/m m m'
_symmetry_Int_Tables_number 123
_symmetry_space_group_name_Hall '-P 4 2'
loop_
_atom_site_label
_atom_site_type_symbol
_atom_site_fract_x
_atom_site_fract_y
_atom_site_fract_z
B1 B 0.000 0.000 0.000
Te1 Te 0.500 0.500 0.500
P1 P 0.000 0.500 0.500
S1 S 0.500 0.500 0.000
```

Output
DOS at the Fermi energy (states/eV/cell): 4.52
ΔE_f (raw) (meV per atom): 1975
Final energy (eV per cell): -14.89
Energy relative to the lowest polymorph listed for this composition (meV per atom): 1225

***

[3]
# Th4BPS2

A relaxed Th4BPS2 crystal (PBE, Alexandria via LeMat-Bulk).

The structure in CIF format:
```
data_Th4BPS2
_chemical_formula_sum 'Th4 B1 P1 S2'
_cell_length_a 7.036
_cell_length_b 4.053
_cell_length_c 7.076
_cell_angle_alpha 90.00
_cell_angle_beta 109.31
_cell_angle_gamma 90.00
_symmetry_space_group_name_H-M 'P 1 2/m 1'
_symmetry_Int_Tables_number 10
loop_
_symmetry_equiv_pos_as_xyz
'x,y,z'
'-x,-y,-z'
'-x,y,-z'
'x,-y,z'
loop_
_atom_site_label
_atom_site_type_symbol
_atom_site_fract_x
_atom_site_fract_y
_atom_site_fract_z
Th1 Th 0.227 0.000 0.228
Th2 Th 0.237 0.500 0.760
B1 B 0.000 0.500 0.000
P1 P 0.000 0.000 0.500
S1 S 0.500 0.000 0.000
S2 S 0.500 0.500 0.500
```

Output
DOS at the Fermi energy (states/eV/cell): 4.38
ΔE_f (raw) (meV per atom): -1387
Final energy (eV per cell): -61.11